Arrangement P

# ZrTlW2 | Alexandria | PBE-GGA | relaxed
# - Magnetization: 0.000 μB/atom
data_ZrTlW2
_chemical_formula_sum 'Zr2 Tl2 W4'
_cell_length_a 5.878
_cell_length_b 8.909
_cell_length_c 2.912
_cell_angle_alpha 90.00
_cell_angle_beta 90.00
_cell_angle_gamma 90.00
_space_group_name_H-M_alt 'C m m m'
_space_group_IT_number 65
_space_group_name_Hall '-C 2 2'
loop_
_atom_site_label
_atom_site_type_symbol
_atom_site_fract_x
_atom_site_fract_y
_atom_site_fract_z
Zr1 Zr 0.000 0.000 0.000
Tl1 Tl 0.000 0.500 0.000
W1 W 0.250 0.250 0.500

---

Arrangement Q

# ZrTlW2 | Alexandria | PBE-GGA | relaxed
# - Magnetization: 0.000 μB/atom
data_ZrTlW2
_chemical_formula_sum 'Zr1 Tl1 W2'
_cell_length_a 3.578
_cell_length_b 3.578
_cell_length_c 6.127
_cell_angle_alpha 90.00
_cell_angle_beta 90.00
_cell_angle_gamma 90.00
_space_group_name_H-M_alt 'P 4/m m m'
_space_group_IT_number 123
_space_group_name_Hall '-P 4 2'
loop_
_atom_site_label
_atom_site_type_symbol
_atom_site_fract_x
_atom_site_fract_y
_atom_site_fract_z
Zr1 Zr 0.000 0.000 0.000
Tl1 Tl 0.000 0.000 0.500
W1 W 0.500 0.500 0.215

---

Arrangement R

# ZrTlW2 | Alexandria | PBE-GGA | relaxed
# - Magnetization: 0.000 μB/atom
data_ZrTlW2
_chemical_formula_sum 'Zr2 Tl2 W4'
_cell_length_a 4.445
_cell_length_b 4.445
_cell_length_c 7.633
_cell_angle_alpha 90.00
_cell_angle_beta 90.00
_cell_angle_gamma 90.00
_space_group_name_H-M_alt 'I -4 m 2'
_space_group_IT_number 119
_space_group_name_Hall 'I -4 -2'
loop_
_atom_site_label
_atom_site_type_symbol
_atom_site_fract_x
_atom_site_fract_y
_atom_site_fract_z
Zr1 Zr 0.000 0.000 0.000
Tl1 Tl 0.000 0.500 0.750
W1 W 0.000 0.000 0.500
W2 W 0.000 0.500 0.250

---

Arrangement S

# ZrTlW2 | Alexandria | PBE-GGA | relaxed
# - Magnetization: 0.000 μB/atom
data_ZrTlW2
_chemical_formula_sum 'Zr2 Tl2 W4'
_cell_length_a 3.492
_cell_length_b 4.729
_cell_length_c 9.358
_cell_angle_alpha 90.00
_cell_angle_beta 90.00
_cell_angle_gamma 90.00
_space_group_name_H-M_alt 'I m m 2'
_space_group_IT_number 44
loop_
_space_group_symop_operation_xyz
'x,y,z'
'-x,-y,z'
'-x,y,z'
'x,-y,z'
'x+1/2,y+1/2,z+1/2'
'-x+1/2,-y+1/2,z+1/2'
'-x+1/2,y+1/2,z+1/2'
'x+1/2,-y+1/2,z+1/2'
loop_
_atom_site_label
_atom_site_type_symbol
_atom_site_fract_x
_atom_site_fract_y
_atom_site_fract_z
Zr1 Zr 0.000 0.000 0.000
Tl1 Tl 0.000 0.500 0.227
W1 W 0.000 0.000 0.467
W2 W 0.000 0.500 0.761

---

On energetic grounds, arrangement S is preferred over the next structure by 99 meV/atom.